No. 1
{
  "formula": "AcLa2PuN5",
  "functional": "PBE-GGA",
  "state": "relaxed",
  "lattice_angstrom": [[3.8381, 0.0000, 0.0000], [-1.9191, 7.0075, 0.0000], [0.0000, 0.0000, 11.9504]],
  "species": ["N", "La", "Ac", "La", "Pu", "Pu", "N", "N", "N", "N", "N", "La", "N", "N", "La", "Ac", "N", "N"],
  "frac_coords": [[0.5828, 0.1657, 0.5726], [0.8506, 0.7012, 0.7252], [0.7450, 0.4900, 0.4754], [0.1494, 0.2988, 0.2252], [0.4758, 0.9515, 0.4677], [0.5242, 0.0485, 0.9677], [0.5864, 0.1728, 0.3372], [0.2504, 0.5009, 0.6312], [0.6420, 0.2840, 0.8667], [0.4172, 0.8343, 0.0726], [0.3580, 0.7160, 0.3667], [0.0971, 0.1943, 0.6978], [0.7496, 0.4991, 0.1312], [0.9356, 0.8712, 0.5502], [0.9029, 0.8057, 0.1978], [0.2550, 0.5100, 0.9754], [0.0644, 0.1288, 0.0502], [0.4136, 0.8272, 0.8372]],
  "e_form_raw_kj_per_mol_atoms": -104.9,
  "m_tot_mub_per_cell": 4.000
}

No. 2
{
  "formula": "LiPmSeS",
  "functional": "PBE-GGA",
  "state": "relaxed",
  "lattice_angstrom": [[4.9155, 0.0000, 0.0000], [2.4577, 4.2569, 0.0000], [2.4577, 1.4190, 4.0135]],
  "species": ["Pm", "Se", "S", "Li"],
  "frac_coords": [[0.0000, 0.0000, 0.0000], [0.2500, 0.2500, 0.2500], [0.7500, 0.7500, 0.7500], [0.5000, 0.5000, 0.5000]],
  "relative_energy_mev_per_atom": 51,
  "e_form_raw_kj_per_mol_atoms": -143.9,
  "m_tot_mub_per_cell": 0.000
}